Entry 1:
# YPaGaRu (PBE-GGA, relaxed)
# Total energy   -7.326 eV/atom
# Calculated density   9.483 g/cm3
data_YPaGaRu
_space_group_name_H-M_alt 'F -4 3 m'
_space_group_IT_number 216
_space_group_name_Hall 'F -4 2 3'
_cell_length_a 7.005
_cell_length_b 7.005
_cell_length_c 7.005
_cell_angle_alpha 90.00
_cell_angle_beta 90.00
_cell_angle_gamma 90.00
loop_
_atom_site_label
_atom_site_fract_x
_atom_site_fract_y
_atom_site_fract_z
Y1 0.000 0.000 0.000
Pa1 0.000 0.000 0.500
Ga1 0.250 0.250 0.250
Ru1 0.250 0.250 0.750

=====

Entry 2:
# PaZnGaRu (PBE-GGA, relaxed)
# Total energy   -5.944 eV/atom
# Calculated density   10.714 g/cm3
data_PaZnGaRu
_space_group_name_H-M_alt 'F -4 3 m'
_space_group_IT_number 216
_space_group_name_Hall 'F -4 2 3'
_cell_length_a 6.617
_cell_length_b 6.617
_cell_length_c 6.617
_cell_angle_alpha 90.00
_cell_angle_beta 90.00
_cell_angle_gamma 90.00
loop_
_atom_site_label
_atom_site_fract_x
_atom_site_fract_y
_atom_site_fract_z
Pa1 0.000 0.000 0.000
Zn1 0.250 0.250 0.750
Ga1 0.000 0.000 0.500
Ru1 0.250 0.250 0.250

=====

Entry 3:
# Pa6GaS12 (PBE-GGA, relaxed)
# Total energy   -7.228 eV/atom
# Calculated density   6.676 g/cm3
data_Pa6GaS12
_space_group_name_H-M_alt 'R -3'
_space_group_IT_number 148
_space_group_name_Hall '-R 3'
_cell_length_a 12.1048
_cell_length_b 12.1048
_cell_length_c 10.8249
_cell_angle_alpha 90.00
_cell_angle_beta 90.00
_cell_angle_gamma 120.00
loop_
_atom_site_label
_atom_site_fract_x
_atom_site_fract_y
_atom_site_fract_z
Pa1 0.0522 0.2700 0.1506
Ga1 0.0000 0.0000 0.5000
S1 0.0368 0.2151 0.8925
S2 0.0479 0.2114 0.3935

=====

Entry 4:
# Pa4GaS3 (PBE-GGA, relaxed)
# Total energy   -7.850 eV/atom
# Calculated density   10.211 g/cm3
data_Pa4GaS3
_space_group_name_H-M_alt 'P m -3 m'
_space_group_IT_number 221
_space_group_name_Hall '-P 4 2 3'
_cell_length_a 5.618
_cell_length_b 5.618
_cell_length_c 5.618
_cell_angle_alpha 90.00
_cell_angle_beta 90.00
_cell_angle_gamma 90.00
loop_
_atom_site_label
_atom_site_fract_x
_atom_site_fract_y
_atom_site_fract_z
Pa1 0.000 0.000 0.000
Pa2 0.000 0.500 0.500
Ga1 0.500 0.500 0.500
S1 0.000 0.000 0.500

=====

Entry 5:
# Pa2GaS (PBE-GGA, relaxed)
# Total energy   -7.279 eV/atom
# Calculated density   10.379 g/cm3
data_Pa2GaS
_space_group_name_H-M_alt 'R -3 m'
_space_group_IT_number 166
_space_group_name_Hall '-R 3 2"'
_cell_length_a 3.5959
_cell_length_b 3.5959
_cell_length_c 24.1678
_cell_angle_alpha 90.00
_cell_angle_beta 90.00
_cell_angle_gamma 120.00
loop_
_atom_site_label
_atom_site_fract_x
_atom_site_fract_y
_atom_site_fract_z
Pa1 0.0000 0.0000 0.2404
Ga1 0.0000 0.0000 0.0000
S1 0.0000 0.0000 0.5000

=====

Entry 6:
# Pa3Ga2S8 (PBE-GGA, relaxed)
# Total energy   -6.418 eV/atom
# Calculated density   5.215 g/cm3
data_Pa3Ga2S8
_space_group_name_H-M_alt 'C 1 2/m 1'
_space_group_IT_number 12
_space_group_name_Hall '-C 2y'
_cell_length_a 12.164
_cell_length_b 8.146
_cell_length_c 7.000
_cell_angle_alpha 90.00
_cell_angle_beta 90.78
_cell_angle_gamma 90.00
loop_
_atom_site_label
_atom_site_fract_x
_atom_site_fract_y
_atom_site_fract_z
Pa1 0.000 0.000 0.000
Pa2 0.000 0.256 0.500
Ga1 0.211 0.500 0.017
S1 0.110 0.000 0.339
S2 0.112 0.240 0.828
S3 0.118 0.500 0.359